# LuPaB, optimized geometry, DFT PBE-GGA
# ΔE to the lowest computed polymorph ... 0.0 meV per atom
# Total moment ... 0.0 μB/f.u.
data_LuPaB
_chemical_formula_sum 'Lu4 Pa4 B4'
_space_group_name_H-M_alt 'F -4 3 m'
_space_group_IT_number 216
_space_group_name_Hall 'F -4 2 3'
_cell_length_a 6.2104
_cell_length_b 6.2104
_cell_length_c 6.2104
_cell_angle_alpha 90.00
_cell_angle_beta 90.00
_cell_angle_gamma 90.00
loop_
_atom_site_label
_atom_site_fract_x
_atom_site_fract_y
_atom_site_fract_z
Lu1 0.0000 0.0000 0.0000
Pa1 0.0000 0.0000 0.5000
B1 0.2500 0.2500 0.2500



# CdBi2Se4, optimized geometry, DFT PBE-GGA
# E ... -0.272 Ry per atom
data_CdBi2Se4
_chemical_formula_sum 'Cd4 Bi8 Se16'
_space_group_name_H-M_alt 'C 1 2/m 1'
_space_group_IT_number 12
_space_group_name_Hall '-C 2y'
_cell_length_a 13.9433
_cell_length_b 4.1914
_cell_length_c 15.3726
_cell_angle_alpha 90.00
_cell_angle_beta 116.64
_cell_angle_gamma 90.00
loop_
_atom_site_label
_atom_site_fract_x
_atom_site_fract_y
_atom_site_fract_z
Cd1 0.0000 0.0000 0.0000
Cd2 0.0000 0.0000 0.5000
Bi1 0.1511 0.5000 0.3625
Bi2 0.2210 0.0000 0.8722
Se1 0.0062 0.0000 0.6763
Se2 0.1080 0.5000 0.9383
Se3 0.1680 0.5000 0.5487
Se4 0.1702 0.0000 0.1799



# Zr4CdSiC2, optimized geometry, DFT PBE-GGA
# E ... -0.589 Ry per atom
# Total moment ... 0.0 μB/f.u.
data_Zr4CdSiC2
_chemical_formula_sum 'Zr4 Cd1 Si1 C2'
_space_group_name_H-M_alt 'P -6 m 2'
_space_group_IT_number 187
_space_group_name_Hall 'P -6 2'
_cell_length_a 3.3353
_cell_length_b 3.3353
_cell_length_c 14.4522
_cell_angle_alpha 90.00
_cell_angle_beta 90.00
_cell_angle_gamma 120.00
loop_
_atom_site_label
_atom_site_fract_x
_atom_site_fract_y
_atom_site_fract_z
Zr1 0.0000 0.0000 0.1469
Zr2 0.3333 0.6667 0.3230
Cd1 0.0000 0.0000 0.5000
Si1 0.3333 0.6667 0.0000
C1 0.6667 0.3333 0.2370



# SmThNb, optimized geometry, DFT PBE-GGA
# ΔE to the lowest computed polymorph ... 0.0 meV per atom
# Energy of formation from the pure elements ... 605 meV per atom
# Total moment ... 0.0 μB/f.u.
data_SmThNb
_chemical_formula_sum 'Sm4 Th4 Nb4'
_space_group_name_H-M_alt 'F -4 3 m'
_space_group_IT_number 216
_space_group_name_Hall 'F -4 2 3'
_cell_length_a 7.0935
_cell_length_b 7.0935
_cell_length_c 7.0935
_cell_angle_alpha 90.00
_cell_angle_beta 90.00
_cell_angle_gamma 90.00
loop_
_atom_site_label
_atom_site_fract_x
_atom_site_fract_y
_atom_site_fract_z
Sm1 0.0000 0.0000 0.0000
Th1 0.0000 0.0000 0.5000
Nb1 0.2500 0.2500 0.2500



# MgAl2Cu4Ni, optimized geometry, DFT PBE-GGA
# ΔE to the lowest computed polymorph ... 0.0 meV per atom
# Total moment ... 0.0 μB/f.u.
data_MgAl2Cu4Ni
_chemical_formula_sum 'Mg4 Al8 Cu16 Ni4'
_space_group_name_H-M_alt 'I 41/a m d'
_space_group_IT_number 141
_cell_length_a 5.8443
_cell_length_b 5.8443
_cell_length_c 12.0954
_cell_angle_alpha 90.00
_cell_angle_beta 90.00
_cell_angle_gamma 90.00
loop_
_space_group_symop_operation_xyz
'x,y,z'
'-x,-y,-z'
'-y+1/4,x+3/4,z+1/4'
'y+1/4,-x+3/4,-z+1/4'
'-x+1/2,-y,z+1/2'
'x+1/2,y,-z+1/2'
'y+1/4,-x+1/4,z+3/4'
'-y+1/4,x+1/4,-z+3/4'
'x,-y,-z'
'-x,y,z'
'-y+1/4,-x+1/4,-z+3/4'
'y+1/4,x+1/4,z+3/4'
'-x+1/2,y,-z+1/2'
'x+1/2,-y,z+1/2'
'y+1/4,x+3/4,-z+1/4'
'-y+1/4,-x+3/4,z+1/4'
'x+1/2,y+1/2,z+1/2'
'-x+1/2,-y+1/2,-z+1/2'
'-y+3/4,x+1/4,z+3/4'
'y+3/4,-x+1/4,-z+3/4'
'-x,-y+1/2,z'
'x,y+1/2,-z'
'y+3/4,-x+3/4,z+1/4'
'-y+3/4,x+3/4,-z+1/4'
'x+1/2,-y+1/2,-z+1/2'
'-x+1/2,y+1/2,z+1/2'
'-y+3/4,-x+3/4,-z+1/4'
'y+3/4,x+3/4,z+1/4'
'-x,y+1/2,-z'
'x,-y+1/2,z'
'y+3/4,x+1/4,-z+3/4'
'-y+3/4,-x+1/4,z+3/4'
loop_
_atom_site_label
_atom_site_fract_x
_atom_site_fract_y
_atom_site_fract_z
Mg1 0.0000 0.2500 0.3750
Al1 0.0000 0.2500 0.1293
Cu1 0.2352 0.0000 0.0000
Ni1 0.0000 0.2500 0.8750



# GdHf2Pb2, optimized geometry, DFT PBE-GGA
# E ... -0.472 Ry per atom
# Total moment ... 0.0 μB/f.u.
data_GdHf2Pb2
_chemical_formula_sum 'Gd2 Hf4 Pb4'
_space_group_name_H-M_alt 'I 4/m m m'
_space_group_IT_number 139
_space_group_name_Hall '-I 4 2'
_cell_length_a 4.4200
_cell_length_b 4.4200
_cell_length_c 13.3645
_cell_angle_alpha 90.00
_cell_angle_beta 90.00
_cell_angle_gamma 90.00
loop_
_atom_site_label
_atom_site_fract_x
_atom_site_fract_y
_atom_site_fract_z
Gd1 0.0000 0.0000 0.0000
Hf1 0.0000 0.5000 0.2500
Pb1 0.0000 0.0000 0.3937



| no. | theoretical density (g/cm³) |
| --- | --- |
| 1 | 11.56 |
| 2 | 7.00 |
| 3 | 6.31 |
| 4 | 8.85 |
| 5 | 6.29 |
| 6 | 11.81 |